Record 1
# Cs2BaGeCl6, optimized geometry, DFT PBE
data_Cs2BaGeCl6
_cell_length_a 7.9166
_cell_length_b 8.0603
_cell_length_c 13.7407
_cell_angle_alpha 90.00
_cell_angle_beta 124.68
_cell_angle_gamma 90.00
_symmetry_space_group_name_H-M 'P 1 21/c 1'
_symmetry_Int_Tables_number 14
loop_
_symmetry_equiv_pos_as_xyz
'x,y,z'
'-x,-y,-z'
'-x,y+1/2,-z+1/2'
'x,-y+1/2,z+1/2'
loop_
_atom_site_label
_atom_site_fract_x
_atom_site_fract_y
_atom_site_fract_z
Cs1 0.2366 0.0458 0.2489
Ba1 0.5000 0.0000 0.0000
Ge1 0.0000 0.0000 0.5000
Cl1 0.1576 0.2275 0.9628
Cl2 0.2372 0.6972 0.9648
Cl3 0.3019 0.0153 0.7338
# uncorrected formation energy	-173.0	kJ/mol of atoms
# polymorph energy (0 for the lowest one)	0.000	eV per atom
# spin magnetization	0.0	μB per formula unit

***

Record 2
# Cs2BaHCl6, optimized geometry, DFT PBE
data_Cs2BaHCl6
_cell_length_a 7.2302
_cell_length_b 7.2302
_cell_length_c 13.7731
_cell_angle_alpha 90.00
_cell_angle_beta 90.00
_cell_angle_gamma 90.00
_symmetry_space_group_name_H-M 'I 4/m m m'
_symmetry_Int_Tables_number 139
_symmetry_space_group_name_Hall '-I 4 2'
loop_
_atom_site_label
_atom_site_fract_x
_atom_site_fract_y
_atom_site_fract_z
Cs1 0.0000 0.5000 0.2500
Ba1 0.0000 0.0000 0.0000
H1 0.0000 0.0000 0.5000
Cl1 0.0000 0.0000 0.2183
Cl2 0.2010 0.2010 0.5000
# total DFT energy (no corrections)	-62.49	eV/cell
# spin magnetization	1.1	μB per formula unit

***

Record 3
# Cs2BaH2Cl2, optimized geometry, DFT PBE
data_Cs2BaH2Cl2
_cell_length_a 5.1812
_cell_length_b 5.1812
_cell_length_c 18.3714
_cell_angle_alpha 90.00
_cell_angle_beta 90.00
_cell_angle_gamma 90.00
_symmetry_space_group_name_H-M 'I 4/m m m'
_symmetry_Int_Tables_number 139
_symmetry_space_group_name_Hall '-I 4 2'
loop_
_atom_site_label
_atom_site_fract_x
_atom_site_fract_y
_atom_site_fract_z
Cs1 0.0000 0.0000 0.1434
Ba1 0.0000 0.0000 0.5000
H1 0.0000 0.5000 0.0000
Cl1 0.0000 0.0000 0.3323
# total DFT energy (no corrections)	-45.75	eV/cell
# spin magnetization	0.0	μB per formula unit

***

Record 4
# CsBaH2Cl, optimized geometry, DFT PBE
data_CsBaH2Cl
_cell_length_a 5.1925
_cell_length_b 5.1925
_cell_length_c 6.1721
_cell_angle_alpha 90.00
_cell_angle_beta 90.00
_cell_angle_gamma 90.00
_symmetry_space_group_name_H-M 'P 4/m m m'
_symmetry_Int_Tables_number 123
_symmetry_space_group_name_Hall '-P 4 2'
loop_
_atom_site_label
_atom_site_fract_x
_atom_site_fract_y
_atom_site_fract_z
Cs1 0.0000 0.0000 0.0000
Ba1 0.5000 0.5000 0.5000
H1 0.0000 0.5000 0.5000
Cl1 0.5000 0.5000 0.0000
# total DFT energy (no corrections)	-16.10	eV/cell
# spin magnetization	0.0	μB per formula unit

***

Record 5
# CsBaHf2Cl, optimized geometry, DFT PBE
data_CsBaHf2Cl
_cell_length_a 4.9959
_cell_length_b 4.9959
_cell_length_c 6.3104
_cell_angle_alpha 90.00
_cell_angle_beta 90.00
_cell_angle_gamma 90.00
_symmetry_space_group_name_H-M 'P 4/m m m'
_symmetry_Int_Tables_number 123
_symmetry_space_group_name_Hall '-P 4 2'
loop_
_atom_site_label
_atom_site_fract_x
_atom_site_fract_y
_atom_site_fract_z
Cs1 0.0000 0.0000 0.0000
Ba1 0.5000 0.5000 0.0000
Hf1 0.0000 0.5000 0.5000
Cl1 0.5000 0.5000 0.5000
# uncorrected formation energy	46.4	kJ/mol of atoms
# spin magnetization	0.0	μB per formula unit

***

Record 6
# Cs2BaHfCl6, optimized geometry, DFT PBE
data_Cs2BaHfCl6
_cell_length_a 11.1812
_cell_length_b 11.1812
_cell_length_c 11.1812
_cell_angle_alpha 90.00
_cell_angle_beta 90.00
_cell_angle_gamma 90.00
_symmetry_space_group_name_H-M 'F m -3 m'
_symmetry_Int_Tables_number 225
_symmetry_space_group_name_Hall '-F 4 2 3'
loop_
_atom_site_label
_atom_site_fract_x
_atom_site_fract_y
_atom_site_fract_z
Cs1 0.2500 0.2500 0.2500
Ba1 0.0000 0.0000 0.0000
Hf1 0.0000 0.0000 0.5000
Cl1 0.0000 0.0000 0.2708
# uncorrected formation energy	-175.2	kJ/mol of atoms
# spin magnetization	2.0	μB per formula unit

***

Record 7
# Cs3BaHg2Cl9, optimized geometry, DFT PBE
data_Cs3BaHg2Cl9
_cell_length_a 7.8120
_cell_length_b 7.8120
_cell_length_c 10.0492
_cell_angle_alpha 90.00
_cell_angle_beta 90.00
_cell_angle_gamma 120.00
_symmetry_space_group_name_H-M 'P -3 m 1'
_symmetry_Int_Tables_number 164
_symmetry_space_group_name_Hall '-P 3 2"'
loop_
_atom_site_label
_atom_site_fract_x
_atom_site_fract_y
_atom_site_fract_z
Cs1 0.0000 0.0000 0.0000
Cs2 0.3333 0.6667 0.7145
Ba1 0.0000 0.0000 0.5000
Hg1 0.3333 0.6667 0.1569
Cl1 0.0000 0.5000 0.0000
Cl2 0.1714 0.3427 0.3087
# uncorrected formation energy	-147.3	kJ/mol of atoms
# spin magnetization	0.0	μB per formula unit

***

Record 8
# Cs2BaHgCl6, optimized geometry, DFT PBE
data_Cs2BaHgCl6
_cell_length_a 11.4132
_cell_length_b 11.4132
_cell_length_c 11.4132
_cell_angle_alpha 90.00
_cell_angle_beta 90.00
_cell_angle_gamma 90.00
_symmetry_space_group_name_H-M 'F m -3 m'
_symmetry_Int_Tables_number 225
_symmetry_space_group_name_Hall '-F 4 2 3'
loop_
_atom_site_label
_atom_site_fract_x
_atom_site_fract_y
_atom_site_fract_z
Cs1 0.2500 0.2500 0.2500
Ba1 0.0000 0.0000 0.0000
Hg1 0.0000 0.0000 0.5000
Cl1 0.0000 0.0000 0.2633
# uncorrected formation energy	-164.6	kJ/mol of atoms
# polymorph energy (0 for the lowest one)	0.014	eV per atom
# spin magnetization	0.0	μB per formula unit

***

Record 9
# Cs2BaHgCl6, optimized geometry, DFT PBE
data_Cs2BaHgCl6
_cell_length_a 7.9392
_cell_length_b 8.0750
_cell_length_c 13.7520
_cell_angle_alpha 90.00
_cell_angle_beta 124.74
_cell_angle_gamma 90.00
_symmetry_space_group_name_H-M 'P 1 21/c 1'
_symmetry_Int_Tables_number 14
loop_
_symmetry_equiv_pos_as_xyz
'x,y,z'
'-x,-y,-z'
'-x,y+1/2,-z+1/2'
'x,-y+1/2,z+1/2'
loop_
_atom_site_label
_atom_site_fract_x
_atom_site_fract_y
_atom_site_fract_z
Cs1 0.2360 0.0459 0.2488
Ba1 0.5000 0.0000 0.0000
Hg1 0.0000 0.0000 0.5000
Cl1 0.1573 0.2243 0.9617
Cl2 0.2387 0.6973 0.9642
Cl3 0.3046 0.0153 0.7344
# uncorrected formation energy	-165.9	kJ/mol of atoms
# polymorph energy (0 for the lowest one)	0.000	eV per atom
# spin magnetization	0.0	μB per formula unit

***

Record 10
# CsBa2HoCl8, optimized geometry, DFT PBE
data_CsBa2HoCl8
_cell_length_a 6.8592
_cell_length_b 9.6882
_cell_length_c 6.9200
_cell_angle_alpha 90.00
_cell_angle_beta 90.05
_cell_angle_gamma 90.00
_symmetry_space_group_name_H-M 'P 1 2/m 1'
_symmetry_Int_Tables_number 10
loop_
_symmetry_equiv_pos_as_xyz
'x,y,z'
'-x,-y,-z'
'-x,y,-z'
'x,-y,z'
loop_
_atom_site_label
_atom_site_fract_x
_atom_site_fract_y
_atom_site_fract_z
Cs1 0.0000 0.0000 0.0000
Ba1 0.5000 0.2547 0.5000
Ho1 0.0000 0.5000 0.0000
Cl1 0.2192 0.3056 0.8460
Cl2 0.2441 0.5000 0.3070
Cl3 0.2660 0.0000 0.3979
# uncorrected formation energy	-224.8	kJ/mol of atoms
# spin magnetization	0.0	μB per formula unit

***

Record 11
# Cs2BaI6Cl, optimized geometry, DFT PBE
data_Cs2BaI6Cl
_cell_length_a 9.7149
_cell_length_b 9.7149
_cell_length_c 12.0337
_cell_angle_alpha 90.00
_cell_angle_beta 90.00
_cell_angle_gamma 90.00
_symmetry_space_group_name_H-M 'I 4/m m m'
_symmetry_Int_Tables_number 139
_symmetry_space_group_name_Hall '-I 4 2'
loop_
_atom_site_label
_atom_site_fract_x
_atom_site_fract_y
_atom_site_fract_z
Cs1 0.0000 0.5000 0.2500
Ba1 0.0000 0.0000 0.0000
I1 0.0000 0.0000 0.2837
I2 0.2426 0.2426 0.0000
Cl1 0.0000 0.0000 0.5000
# uncorrected formation energy	-92.3	kJ/mol of atoms
# spin magnetization	1.0	μB per formula unit

***

Record 12
# CsBaIn2Cl8, optimized geometry, DFT PBE
data_CsBaIn2Cl8
_cell_length_a 7.1727
_cell_length_b 7.1727
_cell_length_c 29.7909
_cell_angle_alpha 90.00
_cell_angle_beta 90.00
_cell_angle_gamma 120.00
_symmetry_space_group_name_H-M 'R -3'
_symmetry_Int_Tables_number 148
_symmetry_space_group_name_Hall '-R 3'
loop_
_atom_site_label
_atom_site_fract_x
_atom_site_fract_y
_atom_site_fract_z
Cs1 0.0000 0.0000 0.0000
Ba1 0.0000 0.0000 0.5000
In1 0.0000 0.0000 0.2528
Cl1 0.0000 0.0000 0.3347
Cl2 0.0160 0.6510 0.5602
# uncorrected formation energy	-143.3	kJ/mol of atoms
# spin magnetization	0.5	μB per formula unit

***

Record 13
# CsK2BaCl, optimized geometry, DFT PBE
data_CsK2BaCl
_cell_length_a 7.3497
_cell_length_b 7.3497
_cell_length_c 6.1248
_cell_angle_alpha 90.00
_cell_angle_beta 90.00
_cell_angle_gamma 90.00
_symmetry_space_group_name_H-M 'P 4/m m m'
_symmetry_Int_Tables_number 123
_symmetry_space_group_name_Hall '-P 4 2'
loop_
_atom_site_label
_atom_site_fract_x
_atom_site_fract_y
_atom_site_fract_z
Cs1 0.0000 0.0000 0.0000
K1 0.0000 0.5000 0.5000
Ba1 0.5000 0.5000 0.0000
Cl1 0.5000 0.5000 0.5000
# uncorrected formation energy	-59.6	kJ/mol of atoms
# spin magnetization	0.0	μB per formula unit

***

Record 14
# Cs4K3BaCl8, optimized geometry, DFT PBE
data_Cs4K3BaCl8
_cell_length_a 9.5913
_cell_length_b 9.5913
_cell_length_c 23.6081
_cell_angle_alpha 90.00
_cell_angle_beta 90.00
_cell_angle_gamma 120.00
_symmetry_space_group_name_H-M 'R -3 m'
_symmetry_Int_Tables_number 166
_symmetry_space_group_name_Hall '-R 3 2"'
loop_
_atom_site_label
_atom_site_fract_x
_atom_site_fract_y
_atom_site_fract_z
Cs1 0.0000 0.0000 0.0000
Cs2 0.0000 0.5000 0.0000
K1 0.0000 0.5000 0.5000
Ba1 0.0000 0.0000 0.5000
Cl1 0.0000 0.0000 0.2404
Cl2 0.0016 0.5008 0.2364
# uncorrected formation energy	-184.2	kJ/mol of atoms
# spin magnetization	0.5	μB per formula unit

***

Record 15
# CsBaLaCl6, optimized geometry, DFT PBE
data_CsBaLaCl6
_cell_length_a 7.9250
_cell_length_b 7.9250
_cell_length_c 14.2749
_cell_angle_alpha 90.00
_cell_angle_beta 90.00
_cell_angle_gamma 120.00
_symmetry_space_group_name_H-M 'P -3 1 c'
_symmetry_Int_Tables_number 163
_symmetry_space_group_name_Hall '-P 3 2c'
loop_
_atom_site_label
_atom_site_fract_x
_atom_site_fract_y
_atom_site_fract_z
Cs1 0.0000 0.0000 0.0000
Ba1 0.3333 0.6667 0.2500
La1 0.3333 0.6667 0.7500
Cl1 0.0272 0.3859 0.6406
# uncorrected formation energy	-227.4	kJ/mol of atoms
# spin magnetization	0.0	μB per formula unit

***

Record 16
# Cs2BaLiCl5, optimized geometry, DFT PBE
data_Cs2BaLiCl5
_cell_length_a 4.6372
_cell_length_b 19.5714
_cell_length_c 14.7358
_cell_angle_alpha 90.00
_cell_angle_beta 90.00
_cell_angle_gamma 90.00
_symmetry_space_group_name_H-M 'C m c 21'
_symmetry_Int_Tables_number 36
loop_
_symmetry_equiv_pos_as_xyz
'x,y,z'
'-x,-y,z+1/2'
'-x,y,z'
'x,-y,z+1/2'
'x+1/2,y+1/2,z'
'-x+1/2,-y+1/2,z+1/2'
'-x+1/2,y+1/2,z'
'x+1/2,-y+1/2,z+1/2'
loop_
_atom_site_label
_atom_site_fract_x
_atom_site_fract_y
_atom_site_fract_z
Cs1 0.0000 0.1043 0.0000
Cs2 0.0000 0.1281 0.6665
Ba1 0.0000 0.1876 0.3573
Li1 0.0000 0.4531 0.7400
Cl1 0.0000 0.0326 0.3094
Cl2 0.0000 0.2992 0.9949
Cl3 0.0000 0.3283 0.7170
Cl4 0.0000 0.3405 0.3370
Cl5 0.0000 0.4947 0.0990
# uncorrected formation energy	-203.3	kJ/mol of atoms
# spin magnetization	0.2	μB per formula unit

***

Record 17
# Cs3BaMg2Cl9, optimized geometry, DFT PBE
data_Cs3BaMg2Cl9
_cell_length_a 7.5669
_cell_length_b 7.5669
_cell_length_c 9.6387
_cell_angle_alpha 90.00
_cell_angle_beta 90.00
_cell_angle_gamma 120.00
_symmetry_space_group_name_H-M 'P -3 m 1'
_symmetry_Int_Tables_number 164
_symmetry_space_group_name_Hall '-P 3 2"'
loop_
_atom_site_label
_atom_site_fract_x
_atom_site_fract_y
_atom_site_fract_z
Cs1 0.0000 0.0000 0.0000
Cs2 0.3333 0.6667 0.6978
Ba1 0.0000 0.0000 0.5000
Mg1 0.3333 0.6667 0.1520
Cl1 0.0000 0.5000 0.0000
Cl2 0.1783 0.3566 0.3029
# uncorrected formation energy	-196.6	kJ/mol of atoms
# spin magnetization	0.0	μB per formula unit

***

Record 18
# Cs2BaMgCl6, optimized geometry, DFT PBE
data_Cs2BaMgCl6
_cell_length_a 11.1022
_cell_length_b 11.1022
_cell_length_c 11.1022
_cell_angle_alpha 90.00
_cell_angle_beta 90.00
_cell_angle_gamma 90.00
_symmetry_space_group_name_H-M 'F m -3 m'
_symmetry_Int_Tables_number 225
_symmetry_space_group_name_Hall '-F 4 2 3'
loop_
_atom_site_label
_atom_site_fract_x
_atom_site_fract_y
_atom_site_fract_z
Cs1 0.2500 0.2500 0.2500
Ba1 0.0000 0.0000 0.0000
Mg1 0.0000 0.0000 0.5000
Cl1 0.0000 0.0000 0.2718
# uncorrected formation energy	-203.1	kJ/mol of atoms
# spin magnetization	0.0	μB per formula unit

***

Record 19
# Cs2BaMnCl6, optimized geometry, DFT PBE
data_Cs2BaMnCl6
_cell_length_a 11.1304
_cell_length_b 11.1304
_cell_length_c 11.1304
_cell_angle_alpha 90.00
_cell_angle_beta 90.00
_cell_angle_gamma 90.00
_symmetry_space_group_name_H-M 'F m -3 m'
_symmetry_Int_Tables_number 225
_symmetry_space_group_name_Hall '-F 4 2 3'
loop_
_atom_site_label
_atom_site_fract_x
_atom_site_fract_y
_atom_site_fract_z
Cs1 0.2500 0.2500 0.2500
Ba1 0.0000 0.0000 0.0000
Mn1 0.0000 0.0000 0.5000
Cl1 0.0000 0.0000 0.2712
# uncorrected formation energy	-181.0	kJ/mol of atoms
# spin magnetization	5.0	μB per formula unit

***

Record 20
# Cs3BaMn2Cl9, optimized geometry, DFT PBE
data_Cs3BaMn2Cl9
_cell_length_a 7.5858
_cell_length_b 7.5858
_cell_length_c 9.6869
_cell_angle_alpha 90.00
_cell_angle_beta 90.00
_cell_angle_gamma 120.00
_symmetry_space_group_name_H-M 'P -3 m 1'
_symmetry_Int_Tables_number 164
_symmetry_space_group_name_Hall '-P 3 2"'
loop_
_atom_site_label
_atom_site_fract_x
_atom_site_fract_y
_atom_site_fract_z
Cs1 0.0000 0.0000 0.0000
Cs2 0.3333 0.6667 0.7033
Ba1 0.0000 0.0000 0.5000
Mn1 0.3333 0.6667 0.1528
Cl1 0.0000 0.5000 0.0000
Cl2 0.1781 0.3561 0.3037
# uncorrected formation energy	-167.5	kJ/mol of atoms
# spin magnetization	10.0	μB per formula unit